The following is a PBE-GGA calculation of a relaxed LiTiZn6 crystal, from Alexandria via LeMat-Bulk.

The energy relative to the lowest polymorph listed for this composition comes out at 21.0 meV/atom. The crystal system is tetragonal. The value obtained for the density of states at the Fermi level is 4.869 states/eV per cell. For the calculated volume, the calculation gives 14.96 A^3/atom. The value obtained for the final energy is -2.32 eV per atom.

The space group is P4/mmm (No. 123) and the conventional cell measures 3.9579, 3.9579 and 7.6376 Å, with angles of 90.00, 90.00 and 90.00 degrees. Symmetry generates all atoms from Li at (0.0000, 0.0000, 0.0000), Ti at (0.0000, 0.0000, 0.5000), Zn at (0.0000, 0.5000, 0.2474), Zn at (0.5000, 0.5000, 0.0000) and Zn at (0.5000, 0.5000, 0.5000).